Compound: NaHoLuTl
Source: Alexandria via LeMat-Bulk
Functional: PBE-GGA
Structure: optimized geometry Values from VASP.

- theoretical density (g/cm3) = 8.73
- ΔH_f (0 K) (eV/atom) = -0.008
- spin magnetization (μB per atom) = 0.000
- symmetry = F-43m, No. 216

Structure (Quantum ESPRESSO input):
```
&SYSTEM
  ibrav = 0, nat = 4, ntyp = 4
/
ATOMIC_SPECIES
Na 22.99 Na.upf
Ho 164.93 Ho.upf
Lu 174.97 Lu.upf
Tl 204.38 Tl.upf
CELL_PARAMETERS angstrom
-2.3632 4.2697 -2.1771
-1.6692 -0.1669 -5.0735
-5.2303 -0.1067 -1.0898
ATOMIC_POSITIONS crystal
Na 0.0000 0.0000 0.0000
Ho 0.7500 0.7500 0.7500
Lu 0.2500 0.2500 0.2500
Tl 0.5000 0.5000 0.5000
```